# 1
CeLuSi | Alexandria via LeMat-Bulk | GGA-PBE | optimized geometry; ΔE_f (raw) = -243 meV/atom
1.0
4.064 0.000 0.000
0.000 4.678 0.000
0.000 -2.339 4.051
Lu Si Ce
1 1 1
direct
0.215 0.333 0.667 Lu
0.094 0.000 0.000 Si
0.691 0.667 0.333 Ce

***

# 2
CeSm2Lu | Alexandria via LeMat-Bulk | GGA-PBE | optimized geometry; formation energy = 71 meV per atom
1.0
5.013 0.000 0.000
0.000 5.027 0.000
0.000 0.000 5.027
Lu Ce Sm
1 1 2
direct
0.500 0.500 0.500 Lu
0.500 0.000 0.000 Ce
0.000 0.500 0.000 Sm
0.000 0.000 0.500 Sm

***

# 3
CeSm2Lu | Alexandria via LeMat-Bulk | GGA-PBE | optimized geometry; formation energy = 67 meV per atom
1.0
-1.191 -3.204 0.908
3.238 -1.339 -0.477
2.215 1.915 9.666
Lu Sm Ce
1 2 1
direct
0.500 0.500 0.000 Lu
0.000 0.000 0.252 Sm
0.000 0.000 0.748 Sm
0.500 0.500 0.500 Ce

***

# 4
CeSm2Lu | Alexandria via LeMat-Bulk | GGA-PBE | optimized geometry; formation energy = 181 meV per atom
1.0
-0.079 -1.592 3.035
-0.147 -3.422 0.137
12.273 -2.199 1.103
Sm Ce Lu
2 1 1
direct
0.911 0.911 0.267 Sm
0.089 0.089 0.733 Sm
0.000 0.000 0.000 Ce
0.500 0.500 0.500 Lu

***

# 5
CeSm2Lu | Alexandria via LeMat-Bulk | GGA-PBE | optimized geometry; formation energy = 194 meV per atom
1.0
-2.225 4.891 1.866
-5.293 0.106 2.080
-0.853 0.796 5.568
Sm Ce Lu
2 1 1
direct
0.750 0.750 0.750 Sm
0.250 0.250 0.250 Sm
0.500 0.500 0.500 Ce
0.000 0.000 0.000 Lu

***

# 6
TbCeSmLu | Alexandria via LeMat-Bulk | GGA-PBE | optimized geometry; formation energy = 191 meV per atom
1.0
5.665 0.000 0.000
2.833 4.906 0.000
2.833 1.635 4.626
Ce Sm Tb Lu
1 1 1 1
direct
0.000 0.000 0.000 Ce
0.250 0.250 0.250 Sm
0.750 0.750 0.750 Tb
0.500 0.500 0.500 Lu

***

# 7
CeSmLuTh | Alexandria via LeMat-Bulk | GGA-PBE | optimized geometry; formation energy = 215 meV per atom
1.0
-1.387 4.235 3.449
-4.663 3.013 -0.971
-4.443 -0.500 3.431
Ce Th Lu Sm
1 1 1 1
direct
0.500 0.500 0.500 Ce
0.750 0.750 0.750 Th
0.000 0.000 0.000 Lu
0.250 0.250 0.250 Sm

***

# 8
CeSmTmLu | Alexandria via LeMat-Bulk | GGA-PBE | optimized geometry; formation energy = 133 meV per atom
1.0
5.620 0.000 0.000
2.810 4.867 0.000
2.810 1.622 4.588
Ce Tm Lu Sm
1 1 1 1
direct
0.750 0.750 0.750 Ce
0.500 0.500 0.500 Tm
0.000 0.000 0.000 Lu
0.250 0.250 0.250 Sm

***

# 9
CeSmYLu | Alexandria via LeMat-Bulk | GGA-PBE | optimized geometry; formation energy = 148 meV per atom
1.0
5.658 0.000 0.000
2.829 4.900 0.000
2.829 1.633 4.620
Lu Y Ce Sm
1 1 1 1
direct
0.250 0.250 0.250 Lu
0.750 0.750 0.750 Y
0.500 0.500 0.500 Ce
0.000 0.000 0.000 Sm

***

# 10
CeLu2Sn | Alexandria via LeMat-Bulk | GGA-PBE | optimized geometry; formation energy = -149 meV per atom
1.0
-2.450 -2.649 -3.877
0.411 -5.273 -0.274
-4.190 -3.044 1.110
Lu Sn Ce
2 1 1
direct
0.750 0.750 0.750 Lu
0.250 0.250 0.250 Lu
0.500 0.500 0.500 Sn
0.000 0.000 0.000 Ce

***

# 11
CeLu2Sn | Alexandria via LeMat-Bulk | GGA-PBE | optimized geometry; formation energy = 63 meV per atom
1.0
3.428 0.000 0.000
1.714 2.969 0.000
1.714 0.990 11.667
Lu Sn Ce
2 1 1
direct
0.912 0.912 0.263 Lu
0.088 0.088 0.737 Lu
0.000 0.000 0.000 Sn
0.500 0.500 0.500 Ce

***

# 12
CeLuSn | Alexandria via LeMat-Bulk | GGA-PBE | optimized geometry; formation energy = 217 meV per atom
1.0
-1.978 -1.746 1.881
-0.489 -2.075 -2.440
8.129 -2.942 3.024
Sn Ce Lu
1 1 1
direct
0.952 0.952 0.904 Sn
0.771 0.771 0.542 Ce
0.127 0.127 0.254 Lu

***

# 13
CeLu2Sn | Alexandria via LeMat-Bulk | GGA-PBE | optimized geometry; formation energy = -365 meV per atom
1.0
-3.466 1.281 2.764
-3.113 -2.349 -2.815
0.626 -3.979 2.629
Lu Ce Sn
2 1 1
direct
0.000 0.000 0.500 Lu
0.000 0.500 0.000 Lu
0.500 0.500 0.500 Ce
0.500 0.000 0.000 Sn

***

# 14
CeLu2Sn | Alexandria via LeMat-Bulk | GGA-PBE | optimized geometry; formation energy = -253 meV per atom
1.0
3.533 0.000 0.000
0.000 3.533 0.000
0.000 0.000 8.879
Sn Ce Lu
1 1 2
direct
0.500 0.500 0.000 Sn
0.500 0.500 0.500 Ce
0.000 0.000 0.771 Lu
0.000 0.000 0.229 Lu

***

# 15
CeLuSn | Alexandria via LeMat-Bulk | GGA-PBE | optimized geometry; formation energy = -206 meV per atom
1.0
3.457 0.000 0.000
-1.728 2.994 0.000
0.000 0.000 8.213
Lu Sn Ce
1 1 1
direct
0.333 0.667 0.653 Lu
0.667 0.333 0.340 Sn
0.000 0.000 0.007 Ce

***

# 16
TbCeLuSn | Alexandria via LeMat-Bulk | GGA-PBE | optimized geometry; formation energy = -203 meV per atom
1.0
5.414 0.000 0.000
2.707 4.689 0.000
2.707 1.563 4.421
Lu Sn Tb Ce
1 1 1 1
direct
0.500 0.500 0.500 Lu
0.000 0.000 0.000 Sn
0.750 0.750 0.750 Tb
0.250 0.250 0.250 Ce

***

# 17
CeLuTlSn | Alexandria via LeMat-Bulk | GGA-PBE | optimized geometry; formation energy = -387 meV per atom
1.0
-1.941 4.789 1.484
-2.569 3.085 -3.576
-5.309 0.738 0.411
Lu Tl Sn Ce
1 1 1 1
direct
0.000 0.000 0.000 Lu
0.750 0.750 0.750 Tl
0.250 0.250 0.250 Sn
0.500 0.500 0.500 Ce

***

# 18
CeLuZnSn | Alexandria via LeMat-Bulk | GGA-PBE | optimized geometry; formation energy = -417 meV per atom
1.0
-4.821 -1.883 0.526
-0.731 -4.776 1.929
-2.054 -0.605 4.742
Sn Ce Zn Lu
1 1 1 1
direct
0.000 0.000 0.000 Sn
0.750 0.750 0.750 Ce
0.500 0.500 0.500 Zn
0.250 0.250 0.250 Lu

***

# 19
CeLuZrSn | Alexandria via LeMat-Bulk | GGA-PBE | optimized geometry; formation energy = -162 meV per atom
1.0
5.185 0.000 0.000
2.592 4.490 0.000
2.592 1.497 4.233
Lu Sn Zr Ce
1 1 1 1
direct
0.000 0.000 0.000 Lu
0.250 0.250 0.250 Sn
0.500 0.500 0.500 Zr
0.750 0.750 0.750 Ce

***

# 20
SrCe2Lu | Alexandria via LeMat-Bulk | GGA-PBE | optimized geometry; formation energy = 328 meV per atom
1.0
-0.671 3.400 0.403
-1.109 1.893 -2.713
-12.643 -0.970 2.247
Ce Sr Lu
2 1 1
direct
0.091 0.091 0.726 Ce
0.909 0.909 0.274 Ce
0.000 0.000 0.000 Sr
0.500 0.500 0.500 Lu

***

# 21
TbCeLu2 | Alexandria via LeMat-Bulk | GGA-PBE | optimized geometry; formation energy = 64 meV per atom
1.0
-1.176 -2.265 -2.400
3.288 -1.016 -0.652
-0.765 -6.905 6.893
Ce Lu Tb
1 2 1
direct
0.500 0.500 0.000 Ce
0.000 0.000 0.246 Lu
0.000 0.000 0.754 Lu
0.500 0.500 0.500 Tb

***

# 22
TbCeLu | Alexandria via LeMat-Bulk | GGA-PBE | optimized geometry; formation energy = 75 meV per atom
1.0
3.501 0.000 0.000
0.000 3.501 0.000
-1.751 -1.751 7.407
Tb Ce Lu
1 1 1
direct
0.998 0.998 0.996 Tb
0.332 0.332 0.664 Ce
0.670 0.670 0.339 Lu

***

# 23
TbCeLu2 | Alexandria via LeMat-Bulk | GGA-PBE | optimized geometry; formation energy = 54 meV per atom
1.0
-1.859 1.933 -2.225
-3.418 -0.570 -0.368
-3.891 7.912 7.397
Tb Lu Ce
1 2 1
direct
0.500 0.500 0.500 Tb
0.251 0.251 0.247 Lu
0.749 0.749 0.753 Lu
0.000 0.000 0.000 Ce

***

# 24
TbCeLu | Alexandria via LeMat-Bulk | GGA-PBE | optimized geometry; formation energy = 64 meV per atom
1.0
-1.709 -1.599 2.587
-0.716 -0.799 -3.319
5.988 -6.111 0.179
Ce Tb Lu
1 1 1
direct
0.667 0.333 0.336 Ce
0.000 0.000 0.001 Tb
0.333 0.667 0.663 Lu

***

# 25
TbCe4Lu | Alexandria via LeMat-Bulk | GGA-PBE | optimized geometry; formation energy = 210 meV per atom
1.0
-0.206 0.039 -6.289
-1.952 -5.107 -3.116
-5.550 0.053 -2.966
Ce Lu Tb
4 1 1
direct
0.628 0.628 0.117 Ce
0.628 0.117 0.628 Ce
0.117 0.628 0.628 Ce
0.628 0.628 0.628 Ce
0.000 0.000 0.000 Lu
0.250 0.250 0.250 Tb

***

# 26
TbCeLu2 | Alexandria via LeMat-Bulk | GGA-PBE | optimized geometry; formation energy = 66 meV per atom
1.0
-3.060 -3.603 1.182
2.391 -0.615 4.313
-3.040 3.289 2.154
Tb Lu Ce
1 2 1
direct
0.500 0.500 0.500 Tb
0.000 0.000 0.500 Lu
0.000 0.500 0.000 Lu
0.500 0.000 0.000 Ce

***

# 27
TbCeLu2 | Alexandria via LeMat-Bulk | GGA-PBE | optimized geometry; formation energy = 123 meV per atom
1.0
5.580 0.000 0.000
2.790 4.833 0.000
2.790 1.611 4.556
Ce Tb Lu
1 1 2
direct
0.500 0.500 0.500 Ce
0.000 0.000 0.000 Tb
0.750 0.750 0.750 Lu
0.250 0.250 0.250 Lu

***

# 28
TbCeLuTl | Alexandria via LeMat-Bulk | GGA-PBE | optimized geometry; formation energy = 42 meV per atom
1.0
5.376 0.000 0.000
2.688 4.656 0.000
2.688 1.552 4.390
Tb Tl Ce Lu
1 1 1 1
direct
0.250 0.250 0.250 Tb
0.000 0.000 0.000 Tl
0.500 0.500 0.500 Ce
0.750 0.750 0.750 Lu

***

# 29
CeLuTc | Alexandria via LeMat-Bulk | GGA-PBE | optimized geometry; formation energy = -104 meV per atom
1.0
3.383 0.000 0.000
0.000 3.383 0.000
-1.691 -1.691 6.307
Lu Tc Ce
1 1 1
direct
0.033 0.033 0.067 Lu
0.670 0.670 0.340 Tc
0.297 0.297 0.593 Ce

***

# 30
CeLuTc2 | Alexandria via LeMat-Bulk | GGA-PBE | optimized geometry; formation energy = -54 meV per atom
1.0
-2.012 2.649 0.648
-1.847 -0.732 -2.745
-4.022 -3.976 3.765
Tc Ce Lu
2 1 1
direct
0.000 0.000 0.231 Tc
0.000 0.000 0.769 Tc
0.500 0.500 0.000 Ce
0.500 0.500 0.500 Lu

***

# 31
CeLuTc | Alexandria via LeMat-Bulk | GGA-PBE | optimized geometry; formation energy = 43 meV per atom
1.0
-3.188 0.457 3.493
-4.631 -0.515 -0.928
-2.334 -3.817 1.600
Ce Lu Tc
1 1 1
direct
0.500 0.500 0.500 Ce
0.000 0.000 0.000 Lu
0.250 0.250 0.250 Tc

***

no.,total magnetization (μB/atom)
1,0.394
2,0.160
3,0.133
4,0.182
5,0.806
6,0.784
7,0.390
8,0.138
9,0.172
10,0.371
11,0.116
12,0.397
13,0.029
14,0.227
15,0.479
16,0.189
17,0.236
18,0.243
19,0.454
20,0.458
21,0.181
22,0.238
23,0.164
24,0.214
25,0.686
26,0.129
27,0.129
28,0.107
29,0.000
30,0.000
31,0.000